Here is a relaxed structure of Ba2AsPd6Pt from Alexandria via LeMat-Bulk. Energies are from PBE.

Magnetization: 0.000 μB/atom
Volume: 22.06 Å³/atom
Electronic total energy: -5.051 eV per atom
N(E_F): 4.8 states/eV/cell
DFT formation energy: -482 meV per atom
Symmetry: No. 2

Lattice parameters (Å, degrees): 7.0087 6.5762 6.5645 64.57 57.77 89.95
Fractional coordinates of all 10 atoms:
1 As 0.0000 0.0000 0.0000
2 Pt 0.5000 0.5000 0.0000
3 Pd 0.6741 0.8707 0.4987
4 Pd 0.1303 0.1722 0.1965
5 Pd 0.1718 0.6734 0.9569
6 Pd 0.8697 0.8278 0.8035
7 Pd 0.3259 0.1293 0.5013
8 Pd 0.8282 0.3266 0.0431
9 Ba 0.6961 0.3044 0.6080
10 Ba 0.3039 0.6956 0.3920